Record 1
VASP calculation (PBE) on a relaxed Pt2Pb2S crystal.

```
Pt2Pb2S
1.0
7.992 0.000 0.000
0.000 7.992 0.000
0.000 0.000 3.482
Pt S Pb
4 2 4
Direct
0.618 0.882 0.500 Pt
0.882 0.382 0.500 Pt
0.382 0.118 0.500 Pt
0.118 0.618 0.500 Pt
0.000 0.000 0.000 S
0.500 0.500 0.000 S
0.681 0.181 0.000 Pb
0.181 0.319 0.000 Pb
0.819 0.681 0.000 Pb
0.319 0.819 0.000 Pb
```

Record 2
VASP calculation (PBE) on a relaxed Tl2BiTe2 crystal.

```
Tl2BiTe2
1.0
-1.150 -2.740 3.110
3.996 -1.589 0.077
3.708 3.879 7.763
Tl Bi Te
2 1 2
Direct
0.750 0.250 0.500 Tl
0.250 0.750 0.500 Tl
0.000 0.000 0.000 Bi
0.596 0.596 0.808 Te
0.404 0.404 0.192 Te
```

| no. | mass density (g/cm3) | formation energy without anion corrections (eV per atom) |
| --- | --- | --- |
| 1 | 12.50 | 0.200 |
| 2 | 8.77 | 0.072 |